A crystal of La5Zn relaxed with PBEsol. Source: Alexandria, functional SCAN.

Its total DFT energy (no corrections) is -38.2873 eV/atom. The calculation puts the energy above the most stable polymorph in this dataset at 0.007 eV per atom. The spin magnetization is 0.0 μB/cell. As for the density of states at the Fermi level: 1.13 states/eV per atom. The formation energy comes out at -0.11 eV per atom.

The structure belongs to space group Cm (No. 8); the cell edges are 12.2915, 3.7253 and 8.7915 Å and the angles 90.00°, 111.57° and 90.00°. The asymmetric unit holds La at (0.0000, 0.0000, 0.0000), La at (0.0201, 0.0000, 0.4370), La at (0.1610, 0.5000, 0.7928), La at (0.3041, 0.0000, 0.1489), La at (0.3270, 0.0000, 0.5922) and Zn at (0.1648, 0.5000, 0.2968).